<w>
A plane-wave DFT calculation with PBE was carried out for a relaxed structure of YTa2Tl.

Summary:
* SG: Cmm2

Cell lengths 3.1133, 3.1133, 9.7916 Å; angles 90.00, 90.00, 109.53 degrees
Fractional positions:
Y 0.0000 0.0000 0.0000
Ta 0.0000 0.0000 0.5318
Ta 0.5000 0.5000 0.7410
Tl 0.5000 0.5000 0.2806

---

<x>
A plane-wave DFT calculation with PBE was carried out for a relaxed structure of YTa2Tl.

Summary:
* SG: R3m

Cell lengths 9.8765, 9.8765, 9.8765 Å; angles 19.42, 19.42, 19.42 degrees
Fractional positions:
Y 0.0000 0.0000 0.0000
Ta 0.2452 0.2452 0.2452
Ta 0.5125 0.5125 0.5125
Tl 0.7612 0.7612 0.7612

---

<y>
A plane-wave DFT calculation with PBE was carried out for a relaxed structure of YTa2Tl.

Summary:
* SG: Pmmm

Cell lengths 3.0403, 4.9211, 6.0067 Å; angles 90.00, 90.00, 90.00 degrees
Fractional positions:
Y 0.0000 0.0000 0.0000
Ta 0.5000 0.5000 0.2356
Ta 0.5000 0.5000 0.7644
Tl 0.0000 0.0000 0.5000

---

<z>
A plane-wave DFT calculation with PBE was carried out for a relaxed structure of YTa2Tl.

Summary:
* SG: Pmmm

Cell lengths 4.0367, 4.4262, 4.8616 Å; angles 90.00, 90.00, 90.00 degrees
Fractional positions:
Y 0.0000 0.0000 0.0000
Ta 0.0000 0.5000 0.5000
Ta 0.5000 0.0000 0.5000
Tl 0.5000 0.5000 0.0000

---

<w> has the most favorable energy; the next structure is 79 meV per atom above.

---

<w>
A plane-wave DFT calculation with PBE was carried out for a relaxed structure of YTa2Tl.

Summary:
* SG: P4mm

Cell lengths 3.0952, 3.0952, 9.2938 Å; angles 90.00, 90.00, 90.00 degrees
Fractional positions:
Y 0.0000 0.0000 0.0000
Ta 0.0000 0.0000 0.4721
Ta 0.5000 0.5000 0.2533
Tl 0.5000 0.5000 0.7193

---

<x>
A plane-wave DFT calculation with PBE was carried out for a relaxed structure of YTa2Tl.

Summary:
* SG: P2/m

Cell lengths 3.1383, 5.3145, 5.3860 Å; angles 90.00, 93.31, 90.00 degrees
Fractional positions:
Y 0.0000 0.0000 0.0000
Ta 0.3724 0.5000 0.7565
Ta 0.6276 0.5000 0.2435
Tl 0.5000 0.0000 0.5000

---

<y>
A plane-wave DFT calculation with PBE was carried out for a relaxed structure of YTa2Tl.

Summary:
* SG: Fm-3m

Cell lengths 4.9345, 4.9345, 4.9345 Å; angles 60.00, 60.00, 60.00 degrees
Fractional positions:
Y 0.0000 0.0000 0.0000
Ta 0.2500 0.2500 0.2500
Ta 0.7500 0.7500 0.7500
Tl 0.5000 0.5000 0.5000

---

<z>
A plane-wave DFT calculation with PBE was carried out for a relaxed structure of YTa2Tl.

Summary:
* SG: P4mm

Cell lengths 3.5408, 3.5408, 7.2232 Å; angles 90.00, 90.00, 90.00 degrees
Fractional positions:
Y 0.0000 0.0000 0.0000
Ta 0.0000 0.0000 0.4494
Ta 0.5000 0.5000 0.2774
Tl 0.5000 0.5000 0.7060

---

<z> has the most favorable energy; the next structure is 174 meV per atom above.